Entry from the Alexandria database: a relaxed structure of Ca3Ge2Au9 (PBE).

a b c (Å): 4.5304 9.4798 13.7670
angles (deg): 90.00 90.00 90.00
Atoms (fractional coordinates):
1 Ca 0.0000 0.9905 0.1846
2 Ca 0.0000 0.0095 0.8154
3 Ca 0.5000 0.5095 0.6846
4 Ca 0.5000 0.4905 0.3154
5 Ca 0.0000 0.0000 0.5000
6 Ca 0.5000 0.5000 0.0000
7 Ge 0.0000 0.3379 0.1857
8 Ge 0.0000 0.6621 0.8143
9 Ge 0.5000 0.1621 0.6857
10 Ge 0.5000 0.8379 0.3143
11 Au 0.0000 0.2119 0.0025
12 Au 0.0000 0.7881 0.9975
13 Au 0.5000 0.2881 0.5025
14 Au 0.5000 0.7119 0.4975
15 Au 0.0000 0.2741 0.3681
16 Au 0.0000 0.7259 0.6319
17 Au 0.5000 0.2259 0.8681
18 Au 0.5000 0.7741 0.1319
19 Au 0.0000 0.2655 0.6351
20 Au 0.0000 0.7345 0.3649
21 Au 0.5000 0.2345 0.1351
22 Au 0.5000 0.7655 0.8649
23 Au 0.0000 0.5996 0.1614
24 Au 0.0000 0.4004 0.8386
25 Au 0.5000 0.9004 0.6614
26 Au 0.5000 0.0996 0.3386
27 Au 0.5000 0.0000 0.0000
28 Au 0.0000 0.5000 0.5000

Results
ΔE to the lowest computed polymorph, eV/atom: 0.0000
Total magnetization, μB per cell: 0.00
Crystal system: orthorhombic
Space-group type: Pnnm (58)
Calculated formation energy, eV/atom: -0.5237